Record 1
Here is a relaxed EuDy2Ni crystal from Alexandria via LeMat-Bulk. Energies are from PBE.

Polymorph energy (0 for the lowest one) = 0 meV per atom
Size of the total moment = 7.937 μB/cell

Structure (POSCAR):
```
EuDy2Ni
1.0
3.459 0.000 0.000
0.000 3.459 0.000
0.000 0.000 9.160
Eu Dy Ni
1 2 1
Direct
0.000 0.000 0.000 Eu
0.500 0.500 0.326 Dy
0.500 0.500 0.674 Dy
0.000 0.000 0.500 Ni
```


Record 2
Here is a relaxed Sn3WAu crystal from Alexandria via LeMat-Bulk. Energies are from PBE.

Polymorph energy (0 for the lowest one) = 0 meV per atom
Size of the total moment = 0.832 μB/cell

Structure (POSCAR):
```
Sn3WAu
1.0
5.254 0.000 0.000
0.000 5.254 0.000
0.000 0.000 5.254
Sn W Au
3 1 1
Direct
0.000 0.000 0.500 Sn
0.000 0.500 0.000 Sn
0.500 0.000 0.000 Sn
0.000 0.000 0.000 W
0.500 0.500 0.500 Au
```


Record 3
Here is a relaxed Dy4MnI5 crystal from Alexandria via LeMat-Bulk. Energies are from PBE.

E_form (uncorrected) = -0.88 eV per atom
Size of the total moment = 0.000 μB/cell

Structure (POSCAR):
```
Dy4MnI5
1.0
9.730 -1.997 0.000
9.730 1.997 0.000
-2.213 0.000 9.126
Dy Mn I
4 1 5
Direct
0.000 0.000 0.221 Dy
0.000 0.000 0.779 Dy
0.373 0.373 0.936 Dy
0.627 0.627 0.064 Dy
0.500 0.500 0.000 Mn
0.166 0.166 0.325 I
0.168 0.168 0.842 I
0.500 0.500 0.500 I
0.832 0.832 0.158 I
0.834 0.834 0.675 I
```


no.,energy (eV/cell)
1,-25.84
2,-25.46
3,-44.17